(1)
Material: CsLuO3
Method: DFT, PBE
State: relaxed

**Final energy**: -5.95 eV/atom

abc: 6.273 8.806 6.149
angles: 90.00 90.00 90.00
Space group Pnma (No. 62)
Unique sites:
Cs  0.002  0.250  0.000 x4
Lu  0.000  0.000  0.500 x4
O  0.002  0.250  0.495 x4
O  0.244  0.503  0.244 x8

(2)
Material: Cs2Lu2O5
Method: DFT, PBE
State: relaxed

**Polymorph energy (0 for the lowest one)**: 1992.1 meV/atom

abc: 4.639 4.639 7.324
angles: 90.00 90.00 90.00
Space group P4/mmm (No. 123)
Unique sites:
Cs  0.000  0.000  0.197 x2
Lu  0.500  0.500  0.000 x1
Lu  0.500  0.500  0.500 x1
O  0.000  0.000  0.500 x1
O  0.000  0.500  0.251 x4

(3)
Material: CsLuO3
Method: DFT, PBE
State: relaxed

**Final energy**: -5.95 eV/atom

abc: 4.413 4.413 4.413
angles: 90.00 90.00 90.00
Space group Pm-3m (No. 221)
Unique sites:
Cs  0.000  0.000  0.000 x1
Lu  0.500  0.500  0.500 x1
O  0.000  0.500  0.500 x3